--- 1 ---
Entry from Alexandria: a relaxed structure of Fe2BF (PBE+U).

Properties
M_tot = 6.00 μB/f.u.
Density = 4.7 Mg/m³

Geometry as POSCAR:
```
Fe2BF
1.0
-2.816 2.816 3.159
2.816 -2.816 3.159
2.816 2.816 -3.159
Fe B F
4 2 2
Direct
0.113 0.625 0.988
0.375 0.363 0.488
0.637 0.125 0.012
0.875 0.887 0.512
0.000 0.000 0.000
0.750 0.250 0.500
0.250 0.750 0.500
0.500 0.500 0.000
```



--- 2 ---
Entry from Alexandria: a relaxed structure of Fe2BF (PBE+U).

Properties
M_tot = 5.76 μB/f.u.
Density = 5.5 Mg/m³

Geometry as POSCAR:
```
Fe2BF
1.0
0.000 2.777 2.777
2.777 0.000 2.777
2.777 2.777 0.000
Fe B F
2 1 1
Direct
0.250 0.250 0.250
0.750 0.750 0.750
0.000 0.000 0.000
0.500 0.500 0.500
```



Computed relative energies in units of meV/atom: 1 0; 2 286